# 1
Entry from OQMD via LeMat-Bulk: crystalline AgSbIr at its relaxed geometry (PBE-GGA).

Results
**E_tot**: -4.9810 eV per atom
**Size of the total moment**: 0.001 μB per atom
**SG**: F-43m

Lattice parameters (Å, degrees): 4.4338 4.4338 4.4338 60.00 60.00 60.00
Element x y z (fractional)
Ag: 0.0000 0.0000 0.0000
Sb: 0.2500 0.2500 0.2500
Ir: 0.5000 0.5000 0.5000

# 2
Entry from OQMD via LeMat-Bulk: crystalline CsTmMo at its relaxed geometry (PBE-GGA).

Results
**E_tot**: -3.1766 eV per atom
**Size of the total moment**: 0.794 μB per atom
**SG**: F-43m
**Relative energy among the computed polymorphs**: 454 meV/atom

Lattice parameters (Å, degrees): 5.0846 5.0846 5.0846 60.00 60.00 60.00
Element x y z (fractional)
Cs: 0.0000 0.0000 0.0000
Tm: 0.2500 0.2500 0.2500
Mo: 0.7500 0.7500 0.7500

# 3
Entry from OQMD via LeMat-Bulk: crystalline ZnGaCuPd at its relaxed geometry (PBE-GGA).

Results
**E_tot**: -3.5189 eV per atom
**SG**: F-43m
**Relative energy among the computed polymorphs**: 109 meV/atom

Lattice parameters (Å, degrees): 4.3212 4.3212 4.3212 60.00 60.00 60.00
Element x y z (fractional)
Zn: 0.0000 0.0000 0.0000
Ga: 0.2500 0.2500 0.2500
Cu: 0.5000 0.5000 0.5000
Pd: 0.7500 0.7500 0.7500

# 4
Entry from OQMD via LeMat-Bulk: crystalline NdNi4Sn2 at its relaxed geometry (PBE-GGA).

Results
**E_tot**: -5.4298 eV per atom
**Size of the total moment**: 0.000 μB per atom
**SG**: I4/mcm

Lattice parameters (Å, degrees): 6.7320 6.7320 6.7320 110.19 110.19 108.04
Element x y z (fractional)
Nd: 0.2500 0.2500 0.0000
Nd: 0.7500 0.7500 0.0000
Ni: 0.0261 0.5261 0.2232
Ni: 0.1972 0.9739 0.5000
Ni: 0.3028 0.8028 0.7768
Ni: 0.4739 0.6972 0.5000
Ni: 0.5261 0.3028 0.5000
Ni: 0.6972 0.1972 0.2232
Ni: 0.8028 0.0261 0.5000
Ni: 0.9739 0.4739 0.7768
Sn: 0.1594 0.3406 0.5000
Sn: 0.3406 0.8406 0.1813
Sn: 0.6594 0.1594 0.8187
Sn: 0.8406 0.6594 0.5000

# 5
Entry from OQMD via LeMat-Bulk: crystalline TmP at its relaxed geometry (PBE-GGA).

Results
**E_tot**: -6.2088 eV per atom
**Size of the total moment**: 0.001 μB per atom
**SG**: P-6m2

Lattice parameters (Å, degrees): 3.8478 3.8478 3.5096 90.00 90.00 120.00
Element x y z (fractional)
Tm: 0.0000 0.0000 0.0000
P: 0.3333 0.6667 0.5000

# 6
Entry from OQMD via LeMat-Bulk: crystalline KCdF3 at its relaxed geometry (PBE-GGA).

Results
**E_tot**: -3.8713 eV per atom
**SG**: P-1

Lattice parameters (Å, degrees): 7.1822 9.2179 9.4065 81.40 76.91 76.05
Element x y z (fractional)
K: 0.0397 0.3758 0.3936
K: 0.2368 0.0558 0.4927
K: 0.2903 0.4602 0.0529
K: 0.4086 0.6469 0.6049
K: 0.5914 0.3531 0.3951
K: 0.7097 0.5398 0.9471
K: 0.7632 0.9442 0.5073
K: 0.9603 0.6242 0.6064
Cd: 0.0214 0.8417 0.8982
Cd: 0.2323 0.2998 0.7671
Cd: 0.2683 0.7838 0.2319
Cd: 0.4619 0.9298 0.8436
Cd: 0.5381 0.0702 0.1564
Cd: 0.7317 0.2162 0.7681
Cd: 0.7677 0.7002 0.2329
Cd: 0.9786 0.1583 0.1018
F: 0.0568 0.6064 0.8634
F: 0.0687 0.1023 0.8724
F: 0.0757 0.6225 0.2529
F: 0.1311 0.8154 0.4593
F: 0.2140 0.0319 0.2153
F: 0.2553 0.8835 0.7141
F: 0.2633 0.4273 0.5494
F: 0.3077 0.7556 0.9927
F: 0.3630 0.2626 0.2684
F: 0.3819 0.1508 0.9516
F: 0.4713 0.1257 0.6514
F: 0.4756 0.4102 0.7862
F: 0.5244 0.5898 0.2138
F: 0.5287 0.8743 0.3486
F: 0.6181 0.8492 0.0484
F: 0.6370 0.7374 0.7316
F: 0.6923 0.2444 0.0073
F: 0.7367 0.5727 0.4506
F: 0.7447 0.1165 0.2859
F: 0.7860 0.9681 0.7847
F: 0.8689 0.1846 0.5407
F: 0.9243 0.3775 0.7471
F: 0.9313 0.8977 0.1276
F: 0.9432 0.3936 0.1366

# 7
Entry from OQMD via LeMat-Bulk: crystalline BaNbCuPt at its relaxed geometry (PBE-GGA).

Results
**E_tot**: -4.9730 eV per atom
**Size of the total moment**: 0.525 μB per atom
**SG**: F-43m
**Relative energy among the computed polymorphs**: 58 meV/atom

Lattice parameters (Å, degrees): 5.0188 5.0188 5.0188 60.00 60.00 60.00
Element x y z (fractional)
Ba: 0.0000 0.0000 0.0000
Nb: 0.5000 0.5000 0.5000
Cu: 0.7500 0.7500 0.7500
Pt: 0.2500 0.2500 0.2500

# 8
Entry from OQMD via LeMat-Bulk: crystalline ZrIn3F6 at its relaxed geometry (PBE-GGA).

Results
**E_tot**: -5.0737 eV per atom
**Size of the total moment**: 0.000 μB per atom
**SG**: Fm-3m

Lattice parameters (Å, degrees): 6.3831 6.3831 6.3831 60.00 60.00 60.00
Element x y z (fractional)
Zr: 0.0000 0.0000 0.0000
In: 0.2500 0.2500 0.2500
In: 0.5000 0.5000 0.5000
In: 0.7500 0.7500 0.7500
F: 0.2239 0.2239 0.7761
F: 0.2239 0.7761 0.2239
F: 0.2239 0.7761 0.7761
F: 0.7761 0.2239 0.2239
F: 0.7761 0.2239 0.7761
F: 0.7761 0.7761 0.2239

# 9
Entry from OQMD via LeMat-Bulk: crystalline ZrFeB2 at its relaxed geometry (PBE-GGA).

Results
**E_tot**: -6.8715 eV per atom
**Size of the total moment**: 0.000 μB per atom
**SG**: F-43m

Lattice parameters (Å, degrees): 3.9531 3.9531 3.9531 60.00 60.00 60.00
Element x y z (fractional)
Zr: 0.0000 0.0000 0.0000
Fe: 0.2500 0.2500 0.2500
B: 0.5000 0.5000 0.5000
B: 0.7500 0.7500 0.7500

# 10
Entry from OQMD via LeMat-Bulk: crystalline HoRe2 at its relaxed geometry (PBE-GGA).

Results
**E_tot**: -5.4904 eV per atom
**Size of the total moment**: 2.334 μB per atom
**SG**: Fd-3m
**Formation enthalpy at 0 K**: 4.32 eV/atom

Lattice parameters (Å, degrees): 8.8883 8.8883 8.8883 60.00 60.00 60.00
Element x y z (fractional)
Ho: 0.1250 0.1250 0.1250
Ho: 0.8750 0.8750 0.8750
Re: 0.0000 0.0000 0.0000
Re: 0.0000 0.0000 0.5000
Re: 0.0000 0.5000 0.0000
Re: 0.5000 0.0000 0.0000

# 11
Entry from OQMD via LeMat-Bulk: crystalline CsMg2Zn2P3 at its relaxed geometry (PBE-GGA).

Results
**E_tot**: -3.3093 eV per atom
**SG**: P4mm
**Relative energy among the computed polymorphs**: 38 meV/atom

Lattice parameters (Å, degrees): 4.2395 4.2395 10.4810 90.00 90.00 90.00
Element x y z (fractional)
Cs: 0.0000 0.0000 0.0000
Mg: 0.0000 0.5000 0.6506
Mg: 0.5000 0.0000 0.6506
Zn: 0.0000 0.5000 0.3455
Zn: 0.5000 0.0000 0.3455
P: 0.0000 0.0000 0.4952
P: 0.5000 0.5000 0.2288
P: 0.5000 0.5000 0.7776

# 12
Entry from OQMD via LeMat-Bulk: crystalline TmHfCS at its relaxed geometry (PBE-GGA).

Results
**E_tot**: -8.2375 eV per atom
**Size of the total moment**: 0.002 μB per atom
**SG**: P-3m1
**Relative energy among the computed polymorphs**: 26 meV/atom

Lattice parameters (Å, degrees): 3.4996 3.4996 12.3906 90.00 90.00 120.00
Element x y z (fractional)
Tm: 0.3333 0.6667 0.1063
Tm: 0.6667 0.3333 0.8937
Hf: 0.3333 0.6667 0.4045
Hf: 0.6667 0.3333 0.5955
C: 0.0000 0.0000 0.0000
C: 0.0000 0.0000 0.5000
S: 0.3333 0.6667 0.7356
S: 0.6667 0.3333 0.2644

# 13
Entry from OQMD via LeMat-Bulk: crystalline Ba2LaAg5O6 at its relaxed geometry (PBE-GGA).

Results
**E_tot**: -5.1091 eV per atom
**Size of the total moment**: 0.000 μB per atom
**SG**: C2/m

Lattice parameters (Å, degrees): 6.6032 6.6032 10.5758 102.56 102.56 32.48
Element x y z (fractional)
Ba: 0.2261 0.2261 0.3050
Ba: 0.7739 0.7739 0.6950
La: 0.0000 0.0000 0.5000
Ag: 0.1603 0.1603 0.9393
Ag: 0.4837 0.4837 0.2476
Ag: 0.5000 0.5000 0.0000
Ag: 0.5163 0.5163 0.7524
Ag: 0.8397 0.8397 0.0607
O: 0.1220 0.1220 0.7100
O: 0.3458 0.3458 0.8845
O: 0.3875 0.3875 0.5560
O: 0.6125 0.6125 0.4440
O: 0.6542 0.6542 0.1155
O: 0.8780 0.8780 0.2900

# 14
Entry from OQMD via LeMat-Bulk: crystalline ZnAgPd2 at its relaxed geometry (PBE-GGA).

Results
**E_tot**: -3.9715 eV per atom
**SG**: P4/mmm
**Formation enthalpy at 0 K**: -0.36 eV/atom

Lattice parameters (Å, degrees): 2.9919 2.9919 6.9547 90.00 90.00 90.00
Element x y z (fractional)
Zn: 0.0000 0.0000 0.0000
Ag: 0.0000 0.0000 0.5000
Pd: 0.5000 0.5000 0.2227
Pd: 0.5000 0.5000 0.7773

# 15
Entry from OQMD via LeMat-Bulk: crystalline TbEr2Cd3In3 at its relaxed geometry (PBE-GGA).

Results
**E_tot**: -3.1320 eV per atom
**Size of the total moment**: 0.000 μB per atom
**SG**: Amm2

Lattice parameters (Å, degrees): 4.6132 7.4866 7.4866 120.21 90.00 90.00
Element x y z (fractional)
Tb: 0.0000 0.0000 0.0000
Er: 0.0000 0.4342 0.8689
Er: 0.0000 0.8689 0.4342
Cd: 0.5000 0.1884 0.4343
Cd: 0.5000 0.4343 0.1884
Cd: 0.5000 0.6807 0.6807
In: 0.0000 0.4361 0.4361
In: 0.5000 0.1018 0.7664
In: 0.5000 0.7664 0.1018

# 16
Entry from OQMD via LeMat-Bulk: crystalline CsLiZrTe3 at its relaxed geometry (PBE-GGA).

Results
**E_tot**: -4.4703 eV per atom
**Size of the total moment**: 0.001 μB per atom
**SG**: Pnma
**Relative energy among the computed polymorphs**: 0 meV/atom

Lattice parameters (Å, degrees): 17.2030 4.2892 11.5322 90.00 90.00 90.00
Element x y z (fractional)
Cs: 0.2322 0.2500 0.0365
Cs: 0.2678 0.7500 0.5365
Cs: 0.7322 0.2500 0.4635
Cs: 0.7678 0.7500 0.9635
Li: 0.0145 0.7500 0.0934
Li: 0.4855 0.2500 0.5934
Li: 0.5145 0.7500 0.4066
Li: 0.9855 0.2500 0.9066
Zr: 0.0136 0.2500 0.3316
Zr: 0.4864 0.7500 0.8316
Zr: 0.5136 0.2500 0.1684
Zr: 0.9864 0.7500 0.6684
Te: 0.0812 0.7500 0.8693
Te: 0.0849 0.2500 0.5689
Te: 0.1233 0.7500 0.2676
Te: 0.3767 0.2500 0.7676
Te: 0.4151 0.7500 0.0689
Te: 0.4188 0.2500 0.3693
Te: 0.5812 0.7500 0.6307
Te: 0.5849 0.2500 0.9311
Te: 0.6233 0.7500 0.2324
Te: 0.8767 0.2500 0.7324
Te: 0.9151 0.7500 0.4311
Te: 0.9188 0.2500 0.1307

# 17
Entry from OQMD via LeMat-Bulk: crystalline LaPuBe at its relaxed geometry (PBE-GGA).

Results
**E_tot**: -6.9372 eV per atom
**Size of the total moment**: 1.925 μB per atom
**SG**: F-43m
**Relative energy among the computed polymorphs**: 0 meV/atom

Lattice parameters (Å, degrees): 4.7731 4.7731 4.7731 60.00 60.00 60.00
Element x y z (fractional)
La: 0.0000 0.0000 0.0000
Pu: 0.7500 0.7500 0.7500
Be: 0.5000 0.5000 0.5000

# 18
Entry from OQMD via LeMat-Bulk: crystalline SbPd2 at its relaxed geometry (PBE-GGA).

Results
**E_tot**: -5.2294 eV per atom
**SG**: P-62m

Lattice parameters (Å, degrees): 7.1132 7.1132 3.6854 90.00 90.00 120.00
Element x y z (fractional)
Sb: 0.0000 0.0000 0.0000
Sb: 0.3333 0.6667 0.5000
Sb: 0.6667 0.3333 0.5000
Pd: 0.0000 0.2695 0.5000
Pd: 0.0000 0.6074 0.0000
Pd: 0.2695 0.0000 0.5000
Pd: 0.3926 0.3926 0.0000
Pd: 0.6074 0.0000 0.0000
Pd: 0.7305 0.7305 0.5000

# 19
Entry from OQMD via LeMat-Bulk: crystalline RbDyZnTe3 at its relaxed geometry (PBE-GGA).

Results
**E_tot**: -3.7779 eV per atom
**Size of the total moment**: 0.000 μB per atom
**SG**: P2_1/m

Lattice parameters (Å, degrees): 9.9112 4.4192 10.6921 90.00 110.10 90.00
Element x y z (fractional)
Rb: 0.2194 0.2500 0.2482
Rb: 0.7806 0.7500 0.7518
Dy: 0.3263 0.7500 0.8632
Dy: 0.6737 0.2500 0.1368
Zn: 0.0828 0.2500 0.6093
Zn: 0.9172 0.7500 0.3907
Te: 0.1065 0.2500 0.8627
Te: 0.2066 0.7500 0.5419
Te: 0.4697 0.7500 0.1646
Te: 0.5303 0.2500 0.8354
Te: 0.7934 0.2500 0.4581
Te: 0.8935 0.7500 0.1373

# 20
Entry from OQMD via LeMat-Bulk: crystalline GaCu2Pt at its relaxed geometry (PBE-GGA).

Results
**E_tot**: -4.4410 eV per atom
**Size of the total moment**: 0.000 μB per atom
**SG**: Pmmn

Lattice parameters (Å, degrees): 4.2747 5.2259 4.8410 90.00 90.00 90.00
Element x y z (fractional)
Ga: 0.2500 0.2500 0.1660
Ga: 0.7500 0.7500 0.8340
Cu: 0.2500 0.5014 0.6440
Cu: 0.2500 0.9986 0.6440
Cu: 0.7500 0.0014 0.3560
Cu: 0.7500 0.4986 0.3560
Pt: 0.2500 0.7500 0.1464
Pt: 0.7500 0.2500 0.8536